! CsFeC3 PBEsol optimized geometry; values from VASP
! Crystal system   cubic
! E_form   4.471 eV per atom
! Size of the total moment   2.677 Bohr magnetons per cell
&SYSTEM
  ibrav = 0, nat = 5, ntyp = 3
/
ATOMIC_SPECIES
Cs 132.91 Cs.upf
C 12.01 C.upf
Fe 55.84 Fe.upf
ATOMIC_POSITIONS crystal
Cs 0.000 0.000 0.000
C 0.000 0.500 0.000
C 0.000 0.000 0.500
C 0.500 0.000 0.000
Fe 0.500 0.500 0.500
CELL_PARAMETERS angstrom
4.444 0.000 0.000
0.000 4.444 0.000
0.000 0.000 4.444


! K5NaTi6Se27 PBEsol optimized geometry; values from VASP
! Crystal system   trigonal
! Formation energy without anion corrections   -864 meV/atom
! Size of the total moment   0.000 Bohr magnetons per cell
&SYSTEM
  ibrav = 0, nat = 78, ntyp = 4
/
ATOMIC_SPECIES
K 39.10 K.upf
Na 22.99 Na.upf
Ti 47.87 Ti.upf
Se 78.96 Se.upf
ATOMIC_POSITIONS crystal
K 0.372 0.328 0.461
K 0.044 0.672 0.961
K 0.333 0.667 0.793
K 0.667 0.333 0.653
K 0.956 0.628 0.461
K 0.628 0.956 0.961
K 0.672 0.044 0.461
K 0.667 0.333 0.293
K 0.333 0.667 0.153
K 0.328 0.372 0.961
Na 0.000 0.000 0.718
Na 0.000 0.000 0.218
Ti 0.015 0.356 0.845
Ti 0.983 0.331 0.602
Ti 0.652 0.669 0.102
Ti 0.644 0.659 0.845
Ti 0.669 0.652 0.602
Ti 0.356 0.015 0.345
Ti 0.331 0.983 0.102
Ti 0.348 0.017 0.602
Ti 0.341 0.985 0.845
Ti 0.659 0.644 0.345
Ti 0.985 0.341 0.345
Ti 0.017 0.348 0.102
Se 0.506 0.190 0.065
Se 0.443 0.579 0.341
Se 0.498 0.511 0.718
Se 0.810 0.317 0.065
Se 0.929 0.127 0.352
Se 0.494 0.683 0.565
Se 0.199 0.071 0.352
Se 0.167 0.377 0.229
Se 0.623 0.790 0.229
Se 0.111 0.225 0.112
Se 0.421 0.864 0.341
Se 0.511 0.498 0.218
Se 0.190 0.506 0.565
Se 0.326 0.118 0.974
Se 0.790 0.623 0.729
Se 0.653 0.807 0.725
Se 0.508 0.652 0.975
Se 0.225 0.111 0.612
Se 0.807 0.653 0.225
Se 0.377 0.167 0.729
Se 0.557 0.136 0.841
Se 0.136 0.557 0.341
Se 0.489 0.988 0.718
Se 0.674 0.791 0.474
Se 0.118 0.326 0.474
Se 0.492 0.145 0.475
Se 0.652 0.508 0.475
Se 0.775 0.886 0.112
Se 0.882 0.209 0.974
Se 0.855 0.348 0.475
Se 0.833 0.210 0.729
Se 0.889 0.114 0.612
Se 0.193 0.847 0.725
Se 0.801 0.873 0.852
Se 0.317 0.810 0.565
Se 0.873 0.801 0.352
Se 0.683 0.494 0.065
Se 0.502 0.012 0.218
Se 0.347 0.153 0.225
Se 0.127 0.929 0.852
Se 0.153 0.347 0.725
Se 0.988 0.489 0.218
Se 0.209 0.882 0.474
Se 0.071 0.199 0.852
Se 0.864 0.421 0.841
Se 0.348 0.855 0.975
Se 0.145 0.492 0.975
Se 0.210 0.833 0.229
Se 0.012 0.502 0.718
Se 0.847 0.193 0.225
Se 0.579 0.443 0.841
Se 0.791 0.674 0.974
Se 0.114 0.889 0.112
Se 0.886 0.775 0.612
CELL_PARAMETERS angstrom
13.202 0.000 0.000
-6.601 11.433 0.000
0.000 0.000 13.707


! RbScW2O8 PBEsol optimized geometry; values from VASP
! Crystal system   monoclinic
! Formation energy without anion corrections   -2489 meV/atom
! Size of the total moment   0.000 Bohr magnetons per cell
&SYSTEM
  ibrav = 0, nat = 24, ntyp = 4
/
ATOMIC_SPECIES
Rb 85.47 Rb.upf
Sc 44.96 Sc.upf
W 183.84 W.upf
O 16.00 O.upf
ATOMIC_POSITIONS crystal
Rb 0.750 0.801 0.801
Rb 0.250 0.199 0.199
Sc 0.750 0.224 0.224
Sc 0.250 0.776 0.776
W 0.783 0.695 0.302
W 0.217 0.305 0.698
W 0.717 0.302 0.695
W 0.283 0.698 0.305
O 0.560 0.756 0.381
O 0.440 0.244 0.619
O 0.940 0.381 0.756
O 0.060 0.619 0.244
O 0.897 0.041 0.666
O 0.103 0.959 0.334
O 0.603 0.666 0.041
O 0.397 0.334 0.959
O 0.949 0.376 0.394
O 0.051 0.624 0.606
O 0.551 0.394 0.376
O 0.449 0.606 0.624
O 0.715 0.963 0.251
O 0.285 0.037 0.749
O 0.785 0.251 0.963
O 0.215 0.749 0.037
CELL_PARAMETERS angstrom
7.348 0.014 -0.017
3.528 6.507 -0.004
-3.528 1.341 6.367


! CaZnCd2 PBEsol optimized geometry; values from VASP
! Crystal system   tetragonal
! E_form   -0.156 eV per atom
! Size of the total moment   0.000 Bohr magnetons per cell
&SYSTEM
  ibrav = 0, nat = 4, ntyp = 3
/
ATOMIC_SPECIES
Zn 65.41 Zn.upf
Ca 40.08 Ca.upf
Cd 112.41 Cd.upf
ATOMIC_POSITIONS crystal
Zn 0.000 0.000 0.470
Ca 0.500 0.500 0.731
Cd 0.000 0.000 0.027
Cd 0.500 0.500 0.272
CELL_PARAMETERS angstrom
3.379 0.000 0.000
0.000 3.380 0.000
0.000 0.000 7.565


! Ba2FePb PBEsol optimized geometry; values from VASP
! Crystal system   orthorhombic
! E_form   0.287 eV per atom
! Size of the total moment   3.382 Bohr magnetons per cell
&SYSTEM
  ibrav = 0, nat = 4, ntyp = 3
/
ATOMIC_SPECIES
Ba 137.33 Ba.upf
Fe 55.84 Fe.upf
Pb 207.20 Pb.upf
ATOMIC_POSITIONS crystal
Ba 0.752 0.504 0.752
Ba 0.248 0.496 0.248
Fe 0.500 0.000 0.000
Pb 0.000 0.000 0.500
CELL_PARAMETERS angstrom
5.718 0.000 0.000
-2.859 5.035 -0.203
0.000 -3.160 4.880


! Er2Al3Ga PBEsol optimized geometry; values from VASP
! Crystal system   trigonal
! E_form   -0.554 eV per atom
! Size of the total moment   0.000 Bohr magnetons per cell
&SYSTEM
  ibrav = 0, nat = 6, ntyp = 3
/
ATOMIC_SPECIES
Al 26.98 Al.upf
Ga 69.72 Ga.upf
Er 167.26 Er.upf
ATOMIC_POSITIONS crystal
Al 0.500 0.500 0.000
Al 0.000 0.500 0.000
Al 0.500 0.000 0.000
Ga 0.500 0.500 0.500
Er 0.124 0.124 0.628
Er 0.876 0.876 0.372
CELL_PARAMETERS angstrom
-5.004 -0.553 2.072
-1.593 -4.796 2.024
-0.670 -0.598 5.374


! Cr2CoAg PBEsol optimized geometry; values from VASP
! Energy above the lowest structure with this stoichiometry   0.62 eV/f.u.
! Crystal system   orthorhombic
! E_form   0.539 eV per atom
! Size of the total moment   0.004 Bohr magnetons per cell
&SYSTEM
  ibrav = 0, nat = 4, ntyp = 3
/
ATOMIC_SPECIES
Ag 107.87 Ag.upf
Co 58.93 Co.upf
Cr 52.00 Cr.upf
ATOMIC_POSITIONS crystal
Ag 0.500 0.500 0.500
Co 0.500 0.000 0.000
Cr 0.000 0.000 0.500
Cr 0.000 0.500 0.000
CELL_PARAMETERS angstrom
-1.284 -1.475 1.598
-2.424 -1.689 -3.507
3.833 -2.342 0.918


! TaW PBEsol optimized geometry; values from VASP
! Crystal system   triclinic
! E_form   -0.071 eV per atom
! Size of the total moment   0.000 Bohr magnetons per cell
&SYSTEM
  ibrav = 0, nat = 16, ntyp = 2
/
ATOMIC_SPECIES
Ta 180.95 Ta.upf
W 183.84 W.upf
ATOMIC_POSITIONS crystal
Ta 0.620 0.879 0.373
Ta 0.380 0.121 0.627
Ta 0.125 0.627 0.370
Ta 0.629 0.626 0.876
Ta 0.368 0.624 0.628
Ta 0.875 0.373 0.630
Ta 0.632 0.376 0.372
Ta 0.371 0.374 0.124
W 0.121 0.124 0.374
W 0.879 0.126 0.122
W 0.121 0.874 0.878
W 0.879 0.876 0.626
W 0.127 0.371 0.878
W 0.624 0.124 0.879
W 0.873 0.629 0.122
W 0.376 0.876 0.121
CELL_PARAMETERS angstrom
5.323 0.000 0.003
0.953 5.476 0.000
0.469 2.738 9.061


! Li2YRePd PBEsol optimized geometry; values from VASP
! Crystal system   tetragonal
! E_form   0.451 eV per atom
! Size of the total moment   0.000 Bohr magnetons per cell
&SYSTEM
  ibrav = 0, nat = 5, ntyp = 4
/
ATOMIC_SPECIES
Y 88.91 Y.upf
Re 186.21 Re.upf
Pd 106.42 Pd.upf
Li 6.94 Li.upf
ATOMIC_POSITIONS crystal
Y 0.500 0.500 0.500
Re 0.000 0.000 0.500
Pd 0.000 0.000 0.000
Li 0.000 0.500 0.000
Li 0.500 0.000 0.000
CELL_PARAMETERS angstrom
-4.053 0.280 -1.710
-1.092 -3.789 1.969
-1.487 2.470 3.928


! CsNb3Hg PBEsol optimized geometry; values from VASP
! Crystal system   cubic
! E_form   2.151 eV per atom
! Size of the total moment   3.482 Bohr magnetons per cell
&SYSTEM
  ibrav = 0, nat = 5, ntyp = 3
/
ATOMIC_SPECIES
Cs 132.91 Cs.upf
Nb 92.91 Nb.upf
Hg 200.59 Hg.upf
ATOMIC_POSITIONS crystal
Cs 0.500 0.500 0.500
Nb 0.000 0.500 0.000
Nb 0.000 0.000 0.500
Nb 0.500 0.000 0.000
Hg 0.000 0.000 0.000
CELL_PARAMETERS angstrom
-4.203 2.932 -1.047
-1.950 -1.108 4.726
2.427 4.187 1.983


! KYP2Se6 PBEsol optimized geometry; values from VASP
! Crystal system   orthorhombic
! Formation energy without anion corrections   -793 meV/atom
! Size of the total moment   0.001 Bohr magnetons per cell
&SYSTEM
  ibrav = 0, nat = 40, ntyp = 4
/
ATOMIC_SPECIES
K 39.10 K.upf
Y 88.91 Y.upf
P 30.97 P.upf
Se 78.96 Se.upf
ATOMIC_POSITIONS crystal
K 0.122 0.520 0.497
K 0.378 0.480 0.997
K 0.622 0.980 0.503
K 0.878 0.020 0.003
Y 0.716 0.817 0.749
Y 0.216 0.683 0.251
Y 0.784 0.183 0.249
Y 0.284 0.317 0.751
P 0.826 0.451 0.109
P 0.306 0.179 0.335
P 0.806 0.321 0.665
P 0.174 0.951 0.391
P 0.194 0.821 0.835
P 0.694 0.679 0.165
P 0.674 0.549 0.609
P 0.326 0.049 0.891
Se 0.631 0.554 0.258
Se 0.883 0.544 0.015
Se 0.909 0.727 0.872
Se 0.131 0.946 0.742
Se 0.117 0.044 0.485
Se 0.091 0.227 0.628
Se 0.560 0.119 0.667
Se 0.891 0.767 0.619
Se 0.081 0.369 0.170
Se 0.581 0.131 0.830
Se 0.617 0.456 0.515
Se 0.391 0.733 0.381
Se 0.419 0.631 0.670
Se 0.440 0.619 0.833
Se 0.369 0.054 0.242
Se 0.869 0.446 0.758
Se 0.109 0.267 0.881
Se 0.919 0.869 0.330
Se 0.940 0.881 0.167
Se 0.609 0.233 0.119
Se 0.591 0.273 0.372
Se 0.409 0.773 0.128
Se 0.383 0.956 0.985
Se 0.060 0.381 0.333
CELL_PARAMETERS angstrom
6.707 0.000 0.000
0.000 7.343 0.000
0.000 0.000 21.417


! La2Co2Cu PBEsol optimized geometry; values from VASP
! Crystal system   tetragonal
! E_form   0.165 eV per atom
! Size of the total moment   2.694 Bohr magnetons per cell
&SYSTEM
  ibrav = 0, nat = 5, ntyp = 3
/
ATOMIC_SPECIES
Co 58.93 Co.upf
Cu 63.55 Cu.upf
La 138.91 La.upf
ATOMIC_POSITIONS crystal
Co 0.250 0.750 0.500
Co 0.750 0.250 0.500
Cu 0.000 0.000 0.000
La 0.387 0.387 0.774
La 0.613 0.613 0.226
CELL_PARAMETERS angstrom
-3.020 1.180 -0.911
0.245 -1.637 -2.933
-2.398 -6.712 5.480


! FeSe2S PBEsol optimized geometry; values from VASP
! Crystal system   trigonal
! Formation energy without anion corrections   661 meV/atom
! Size of the total moment   2.444 Bohr magnetons per cell
&SYSTEM
  ibrav = 0, nat = 4, ntyp = 3
/
ATOMIC_SPECIES
S 32.06 S.upf
Fe 55.84 Fe.upf
Se 78.96 Se.upf
ATOMIC_POSITIONS crystal
S 0.500 0.500 0.500
Fe 0.000 0.000 0.000
Se 0.905 0.905 0.285
Se 0.095 0.095 0.715
CELL_PARAMETERS angstrom
-1.270 -2.713 -1.675
1.887 -1.577 -2.394
3.151 -6.171 4.090


! YHo3 PBEsol optimized geometry; values from VASP
! Energy above the lowest structure with this stoichiometry   0.04 eV/f.u.
! Crystal system   cubic
! E_form   0.020 eV per atom
! Size of the total moment   0.000 Bohr magnetons per cell
&SYSTEM
  ibrav = 0, nat = 4, ntyp = 2
/
ATOMIC_SPECIES
Y 88.91 Y.upf
Ho 164.93 Ho.upf
ATOMIC_POSITIONS crystal
Y 0.000 0.000 0.000
Ho 0.000 0.500 0.500
Ho 0.500 0.000 0.500
Ho 0.500 0.500 0.000
CELL_PARAMETERS angstrom
-1.911 4.272 -1.452
-4.363 -1.348 1.778
1.151 1.986 4.329


! KBa4Ni PBEsol optimized geometry; values from VASP
! Crystal system   cubic
! E_form   0.800 eV per atom
! Size of the total moment   0.761 Bohr magnetons per cell
&SYSTEM
  ibrav = 0, nat = 6, ntyp = 3
/
ATOMIC_SPECIES
Ba 137.33 Ba.upf
K 39.10 K.upf
Ni 58.69 Ni.upf
ATOMIC_POSITIONS crystal
Ba 0.373 0.373 0.373
Ba 0.373 0.373 0.880
Ba 0.880 0.373 0.373
Ba 0.373 0.880 0.373
K 0.750 0.750 0.750
Ni 0.000 0.000 0.000
CELL_PARAMETERS angstrom
-3.252 -0.678 -6.695
-4.130 -6.032 -1.555
-7.422 0.613 -0.629


! Li2MnRu PBEsol optimized geometry; values from VASP
! Crystal system   cubic
! E_form   0.567 eV per atom
! Size of the total moment   4.085 Bohr magnetons per cell
&SYSTEM
  ibrav = 0, nat = 4, ntyp = 3
/
ATOMIC_SPECIES
Li 6.94 Li.upf
Mn 54.94 Mn.upf
Ru 101.07 Ru.upf
ATOMIC_POSITIONS crystal
Li 0.250 0.250 0.250
Li 0.750 0.750 0.750
Mn 0.000 0.000 0.000
Ru 0.500 0.500 0.500
CELL_PARAMETERS angstrom
-3.342 1.302 2.015
-3.748 -0.956 -1.399
-2.339 -2.688 2.056


! MgCdPb2 PBEsol optimized geometry; values from VASP
! Energy above the lowest structure with this stoichiometry   0.08 eV/f.u.
! Crystal system   tetragonal
! E_form   -0.008 eV per atom
! Size of the total moment   0.000 Bohr magnetons per cell
&SYSTEM
  ibrav = 0, nat = 4, ntyp = 3
/
ATOMIC_SPECIES
Pb 207.20 Pb.upf
Mg 24.30 Mg.upf
Cd 112.41 Cd.upf
ATOMIC_POSITIONS crystal
Pb 0.000 0.000 0.000
Pb 0.750 0.250 0.500
Mg 0.250 0.750 0.500
Cd 0.500 0.500 0.000
CELL_PARAMETERS angstrom
4.643 0.000 0.000
0.000 4.643 0.000
-2.322 -2.322 4.804


! KTa2CrMo PBEsol optimized geometry; values from VASP
! Crystal system   tetragonal
! E_form   3.046 eV per atom
! Size of the total moment   3.785 Bohr magnetons per cell
&SYSTEM
  ibrav = 0, nat = 5, ntyp = 4
/
ATOMIC_SPECIES
Cr 52.00 Cr.upf
Mo 95.94 Mo.upf
K 39.10 K.upf
Ta 180.95 Ta.upf
ATOMIC_POSITIONS crystal
Cr 0.500 0.500 0.500
Mo 0.500 0.000 0.000
K 0.000 0.000 0.000
Ta 0.000 0.000 0.500
Ta 0.000 0.500 0.000
CELL_PARAMETERS angstrom
-4.306 0.248 0.627
0.545 -1.407 4.305
0.447 4.332 1.359


! Be2FeAs PBEsol optimized geometry; values from VASP
! Energy above the lowest structure with this stoichiometry   0.00 eV/f.u.
! Crystal system   tetragonal
! E_form   -0.019 eV per atom
! Size of the total moment   0.002 Bohr magnetons per cell
&SYSTEM
  ibrav = 0, nat = 4, ntyp = 3
/
ATOMIC_SPECIES
Be 9.01 Be.upf
As 74.92 As.upf
Fe 55.84 Fe.upf
ATOMIC_POSITIONS crystal
Be 0.250 0.750 0.500
Be 0.000 0.000 0.000
As 0.500 0.500 0.000
Fe 0.750 0.250 0.500
CELL_PARAMETERS angstrom
-1.602 -0.313 2.949
1.531 -2.958 0.518
2.674 3.282 -0.126


! ReTc2P PBEsol optimized geometry; values from VASP
! Crystal system   tetragonal
! E_form   0.133 eV per atom
! Size of the total moment   0.001 Bohr magnetons per cell
&SYSTEM
  ibrav = 0, nat = 4, ntyp = 3
/
ATOMIC_SPECIES
P 30.97 P.upf
Re 186.21 Re.upf
Tc 98.00 Tc.upf
ATOMIC_POSITIONS crystal
P 0.500 0.500 0.000
Re 0.250 0.750 0.500
Tc 0.000 0.000 0.000
Tc 0.750 0.250 0.500
CELL_PARAMETERS angstrom
3.659 0.000 0.000
0.000 3.659 0.000
-1.829 -1.829 4.026